## ScCrTe (GGA-PBE)

Data for an optimized crystal structure of ScCrTe.

M_tot = 3.48 μB per formula unit
raw formation energy = -0.1036 eV per atom
DOS(E_F) = 0.862 states/eV/atom

Cell: 4.4889 4.4889 3.6412 Å, 90.00 90.00 120.00°
Space group P3m1 (No. 156)
Inequivalent atoms, fractional coordinates:
Sc  0.0000  0.0000  0.0000 (multiplicity 1)
Cr  0.3333  0.6667  0.5368 (multiplicity 1)
Te  0.6667  0.3333  0.4508 (multiplicity 1)

***

## ScCrTe2 (GGA-PBE)

Data for an optimized crystal structure of ScCrTe2.

M_tot = 4.59 μB per formula unit
raw formation energy = -0.3731 eV per atom
E above lowest polymorph = 0.211 eV per atom
DOS(E_F) = 0.696 states/eV/atom

Cell: 3.7891 3.6991 7.2001 Å, 90.00 100.58 90.00°
Space group P2/m (No. 10)
Inequivalent atoms, fractional coordinates:
Sc  0.0000  0.0000  0.0000 (multiplicity 1)
Cr  0.0000  0.0000  0.5000 (multiplicity 1)
Te  0.3564  0.5000  0.7565 (multiplicity 2)

***

## Sc2CrTe (GGA-PBE)

Data for an optimized crystal structure of Sc2CrTe.

M_tot = 3.65 μB per formula unit
raw formation energy = -0.1058 eV per atom
DOS(E_F) = 0.680 states/eV/atom

Cell: 3.6940 3.6940 23.5910 Å, 90.00 90.00 120.00°
Space group R-3m (No. 166, hexagonal axes)
Inequivalent atoms, fractional coordinates:
Sc  0.0000  0.0000  0.2485 (multiplicity 6)
Cr  0.0000  0.0000  0.5000 (multiplicity 3)
Te  0.0000  0.0000  0.0000 (multiplicity 3)

***

## ScCrTe2 (GGA-PBE)

Data for an optimized crystal structure of ScCrTe2.

M_tot = 5.00 μB per formula unit
raw formation energy = -0.4162 eV per atom
E above lowest polymorph = 0.168 eV per atom
DOS(E_F) = 0.002 states/eV/atom

Cell: 6.3991 6.3991 13.1637 Å, 90.00 90.00 90.00°
Space group I-42d (No. 122)
Inequivalent atoms, fractional coordinates:
Sc  0.0000  0.0000  0.0000 (multiplicity 4)
Cr  0.0000  0.0000  0.5000 (multiplicity 4)
Te  0.2420  0.2500  0.6250 (multiplicity 8)

***

## Sc2Cr2Te (GGA-PBE)

Data for an optimized crystal structure of Sc2Cr2Te.

M_tot = 7.96 μB per formula unit
raw formation energy = 0.2627 eV per atom
E above lowest polymorph = 0.269 eV per atom
DOS(E_F) = 0.530 states/eV/atom

Cell: 7.5700 7.5700 3.8687 Å, 90.00 90.00 90.00°
Space group P4/mbm (No. 127)
Inequivalent atoms, fractional coordinates:
Sc  0.1539  0.3461  0.0000 (multiplicity 4)
Cr  0.1373  0.6373  0.5000 (multiplicity 4)
Te  0.0000  0.0000  0.0000 (multiplicity 2)

***

## ScCrTe3 (GGA-PBE)

Data for an optimized crystal structure of ScCrTe3.

M_tot = 4.05 μB per formula unit
raw formation energy = 0.1442 eV per atom
E above lowest polymorph = 0.093 eV per atom
DOS(E_F) = 1.093 states/eV/atom

Cell: 5.4965 5.4965 5.4965 Å, 90.00 90.00 90.00°
Space group Pm-3m (No. 221)
Inequivalent atoms, fractional coordinates:
Sc  0.0000  0.0000  0.0000 (multiplicity 1)
Cr  0.5000  0.5000  0.5000 (multiplicity 1)
Te  0.0000  0.0000  0.5000 (multiplicity 3)

***

## Sc2CrTe (GGA-PBE)

Data for an optimized crystal structure of Sc2CrTe.

M_tot = 3.99 μB per formula unit
raw formation energy = -0.1805 eV per atom
DOS(E_F) = 1.034 states/eV/atom

Cell: 3.8222 3.8222 6.0369 Å, 90.00 90.00 90.00°
Space group P4mm (No. 99)
Inequivalent atoms, fractional coordinates:
Sc  0.0000  0.0000  0.0000 (multiplicity 1)
Sc  0.5000  0.5000  0.2819 (multiplicity 1)
Cr  0.5000  0.5000  0.7913 (multiplicity 1)
Te  0.0000  0.0000  0.5045 (multiplicity 1)

***

## ScCrTe2 (GGA-PBE)

Data for an optimized crystal structure of ScCrTe2.

M_tot = 4.21 μB per formula unit
raw formation energy = -0.5841 eV per atom
E above lowest polymorph = 0.000 eV per atom
DOS(E_F) = 0.405 states/eV/atom

Cell: 4.0833 4.0833 5.8989 Å, 90.00 90.00 90.00°
Space group P4mm (No. 99)
Inequivalent atoms, fractional coordinates:
Sc  0.0000  0.0000  0.0000 (multiplicity 1)
Cr  0.5000  0.5000  0.5959 (multiplicity 1)
Te  0.0000  0.0000  0.5238 (multiplicity 1)
Te  0.5000  0.5000  0.0810 (multiplicity 1)

***

## ScCrTe2 (GGA-PBE)

Data for an optimized crystal structure of ScCrTe2.

M_tot = 3.12 μB per formula unit
raw formation energy = -0.1145 eV per atom
E above lowest polymorph = 0.470 eV per atom
DOS(E_F) = 0.693 states/eV/atom

Cell: 3.8857 3.8857 26.3981 Å, 90.00 90.00 120.00°
Space group R-3m (No. 166, hexagonal axes)
Inequivalent atoms, fractional coordinates:
Sc  0.0000  0.0000  0.0000 (multiplicity 3)
Cr  0.0000  0.0000  0.5000 (multiplicity 3)
Te  0.0000  0.0000  0.1081 (multiplicity 6)

***

## Sc2CrTe (GGA-PBE)

Data for an optimized crystal structure of Sc2CrTe.

M_tot = 2.64 μB per formula unit
raw formation energy = -0.2172 eV per atom
DOS(E_F) = 0.834 states/eV/atom

Cell: 4.2832 4.2832 8.9121 Å, 90.00 90.00 90.00°
Space group I4/mmm (No. 139)
Inequivalent atoms, fractional coordinates:
Sc  0.0000  0.5000  0.2500 (multiplicity 4)
Cr  0.0000  0.0000  0.0000 (multiplicity 2)
Te  0.0000  0.0000  0.5000 (multiplicity 2)

***

## ScCr2Te4 (GGA-PBE)

Data for an optimized crystal structure of ScCr2Te4.

M_tot = 6.91 μB per formula unit
raw formation energy = -0.5243 eV per atom
DOS(E_F) = 0.476 states/eV/atom

Cell: 14.7753 4.0211 7.1184 Å, 90.00 118.66 90.00°
Space group C2/m (No. 12)
Inequivalent atoms, fractional coordinates:
Sc  0.0000  0.0000  0.0000 (multiplicity 2)
Cr  0.2448  0.5000  0.7285 (multiplicity 4)
Te  0.1303  0.0000  0.4623 (multiplicity 4)
Te  0.1360  0.5000  0.9672 (multiplicity 4)

***

## ScCrTe2 (GGA-PBE)

Data for an optimized crystal structure of ScCrTe2.

M_tot = 4.13 μB per formula unit
raw formation energy = -0.4863 eV per atom
E above lowest polymorph = 0.098 eV per atom
DOS(E_F) = 0.719 states/eV/atom

Cell: 3.8479 3.8903 13.3047 Å, 90.00 90.00 90.00°
Space group Imm2 (No. 44)
Inequivalent atoms, fractional coordinates:
Sc  0.0000  0.0000  0.0000 (multiplicity 2)
Cr  0.0000  0.5000  0.2773 (multiplicity 2)
Te  0.0000  0.0000  0.5891 (multiplicity 2)
Te  0.0000  0.5000  0.8342 (multiplicity 2)

***

## Sc2CrTe (GGA-PBE)

Data for an optimized crystal structure of Sc2CrTe.

M_tot = 2.30 μB per formula unit
raw formation energy = -0.3053 eV per atom
DOS(E_F) = 0.688 states/eV/atom

Cell: 3.6400 3.6400 6.3358 Å, 90.00 90.00 90.00°
Space group P4/mmm (No. 123)
Inequivalent atoms, fractional coordinates:
Sc  0.0000  0.0000  0.2406 (multiplicity 2)
Cr  0.5000  0.5000  0.0000 (multiplicity 1)
Te  0.5000  0.5000  0.5000 (multiplicity 1)

***

## Sc2CrTe (GGA-PBE)

Data for an optimized crystal structure of Sc2CrTe.

M_tot = 2.88 μB per formula unit
raw formation energy = -0.2081 eV per atom
DOS(E_F) = 0.844 states/eV/atom

Cell: 6.7455 6.7696 3.7013 Å, 90.00 90.00 90.00°
Space group Cmmm (No. 65)
Inequivalent atoms, fractional coordinates:
Sc  0.2500  0.2500  0.0000 (multiplicity 4)
Cr  0.0000  0.0000  0.5000 (multiplicity 2)
Te  0.0000  0.5000  0.5000 (multiplicity 2)

***

## ScCrTe3 (GGA-PBE)

Data for an optimized crystal structure of ScCrTe3.

M_tot = 3.36 μB per formula unit
raw formation energy = 0.0511 eV per atom
E above lowest polymorph = 0.000 eV per atom
DOS(E_F) = 0.585 states/eV/atom

Cell: 5.2089 5.2089 5.2089 Å, 90.00 90.00 90.00°
Space group Pm-3m (No. 221)
Inequivalent atoms, fractional coordinates:
Sc  0.0000  0.0000  0.0000 (multiplicity 1)
Cr  0.5000  0.5000  0.5000 (multiplicity 1)
Te  0.0000  0.5000  0.5000 (multiplicity 3)